{
  "formula": "Mn2ReAg",
  "functional": "PBE-GGA",
  "state": "relaxed",
  "total_magnetization_mub_per_fu": 5.988,
  "total_energy_ev_per_atom": -7.99,
  "e_above_lowest_polymorph_mev_per_atom": 159,
  "space_group": "No. 123",
  "delta_e_f_ev_per_atom": 0.418,
  "lattice_angstrom": [[4.5539, 0.0000, 0.0000], [0.0000, 4.5539, 0.0000], [0.0000, 0.0000, 2.8644]],
  "species": ["Mn", "Mn", "Re", "Ag"],
  "fractional_positions": [[0.0000, 0.5000, 0.0000], [0.5000, 0.0000, 0.0000], [0.0000, 0.0000, 0.5000], [0.5000, 0.5000, 0.5000]]
}